AcTb3Dy8 after structural relaxation. Source: Alexandria via LeMat-Bulk, functional PBE.

Properties
As for the density of states at the Fermi level: 1.815 states/eV/atom. The crystal system is orthorhombic. The total magnetic moment comes out at 0.00 μB/cell. Its formation energy is 0.03 eV per atom.

a = 8.516 Å, b = 8.516 Å, c = 8.516 Å
α = 100.09°, β = 95.73°, γ = 136.47°
Fractional coordinates of all 12 atoms:
Ac 0.000 0.000 0.000
Tb 0.086 0.339 0.747
Tb 0.503 0.003 0.500
Tb 0.592 0.339 0.253
Dy 0.003 0.339 0.336
Dy 0.003 0.667 0.664
Dy 0.088 0.002 0.422
Dy 0.088 0.666 0.086
Dy 0.505 0.334 0.830
Dy 0.505 0.675 0.170
Dy 0.580 0.002 0.914
Dy 0.580 0.666 0.578

Mg2Ga2Ni after structural relaxation. Source: Alexandria via LeMat-Bulk, functional PBE.

Properties
As for the density of states at the Fermi level: 0.475 states/eV/atom. The crystal system is tetragonal. The energy above the most stable polymorph in this dataset is 96 meV/atom. The total magnetic moment comes out at 0.00 μB/cell. Its formation energy is -0.16 eV per atom.

a = 10.885 Å, b = 10.885 Å, c = 10.885 Å
α = 158.00°, β = 158.00°, γ = 31.32°
Fractional coordinates of all 10 atoms:
Mg 0.052 0.302 0.750
Mg 0.302 0.052 0.250
Mg 0.698 0.948 0.750
Mg 0.948 0.698 0.250
Ga 0.190 0.440 0.750
Ga 0.440 0.190 0.250
Ga 0.560 0.810 0.750
Ga 0.810 0.560 0.250
Ni 0.375 0.625 0.750
Ni 0.625 0.375 0.250

Ba4ScTc after structural relaxation. Source: Alexandria via LeMat-Bulk, functional PBE.

Properties
As for the density of states at the Fermi level: 1.985 states/eV/atom. The crystal system is cubic. The total magnetic moment comes out at 0.49 μB/cell. Its formation energy is 1.20 eV per atom.

a = 7.104 Å, b = 7.104 Å, c = 7.104 Å
α = 60.00°, β = 60.00°, γ = 60.00°
Fractional coordinates of all 6 atoms:
Ba 0.125 0.125 0.125
Ba 0.125 0.125 0.624
Ba 0.125 0.624 0.125
Ba 0.624 0.125 0.125
Sc 0.750 0.750 0.750
Tc 0.500 0.500 0.500

Dy3Zn4Ga4 after structural relaxation. Source: Alexandria via LeMat-Bulk, functional PBE.

Properties
As for the density of states at the Fermi level: 0.417 states/eV/atom. The crystal system is orthorhombic. The energy above the most stable polymorph in this dataset is 0 meV/atom. The total magnetic moment comes out at 0.00 μB/cell. Its formation energy is -0.52 eV per atom.

a = 8.225 Å, b = 8.225 Å, c = 8.225 Å
α = 149.50°, β = 131.11°, γ = 58.72°
Fractional coordinates of all 11 atoms:
Dy 0.000 0.000 0.000
Dy 0.374 0.874 0.500
Dy 0.626 0.126 0.500
Zn 0.023 0.335 0.688
Zn 0.353 0.665 0.688
Zn 0.647 0.335 0.312
Zn 0.977 0.665 0.312
Ga 0.219 0.219 0.000
Ga 0.313 0.500 0.813
Ga 0.687 0.500 0.187
Ga 0.781 0.781 0.000

YSb2Ru after structural relaxation. Source: Alexandria via LeMat-Bulk, functional PBE.

Properties
As for the density of states at the Fermi level: 0.588 states/eV/atom. The crystal system is tetragonal. The value obtained for the calculated total energy is -24.83 eV/cell. The total magnetic moment comes out at 0.00 μB/cell.

a = 5.657 Å, b = 5.657 Å, c = 5.657 Å
α = 135.48°, β = 135.48°, γ = 64.79°
Fractional coordinates of all 4 atoms:
Y 0.000 0.000 0.000
Sb 0.500 0.500 0.000
Sb 0.750 0.250 0.500
Ru 0.250 0.750 0.500

Sr8Ag2H after structural relaxation. Source: Alexandria via LeMat-Bulk, functional PBE.

Properties
As for the density of states at the Fermi level: 0.919 states/eV/atom. The crystal system is monoclinic. The value obtained for the calculated total energy is -24.03 eV/cell. The total magnetic moment comes out at 0.00 μB/cell.

a = 8.305 Å, b = 8.305 Å, c = 7.219 Å
α = 104.11°, β = 104.11°, γ = 73.29°
Fractional coordinates of all 11 atoms:
Sr 0.084 0.084 0.289
Sr 0.157 0.562 0.257
Sr 0.374 0.374 0.743
Sr 0.438 0.843 0.743
Sr 0.562 0.157 0.257
Sr 0.626 0.626 0.257
Sr 0.843 0.438 0.743
Sr 0.916 0.916 0.711
Ag 0.187 0.187 0.935
Ag 0.813 0.813 0.065
H 0.500 0.500 0.500